No. 1
LaInSi2 | meta-GGA SCAN | single point on PBEsol structure

Computed properties:
- Uncorrected formation energy: -0.1397 eV/atom
- Magnetic moment: 0.000 μB/atom
- Calculated density: 5.9 g cm⁻³

Cell lengths 3.670, 3.670, 6.456 Å; angles 90.00, 90.00, 91.92 degrees
Fractional positions:
Si (0.000, 0.000, 0.308)
Si (0.000, 0.000, 0.692)
In (0.500, 0.500, 0.500)
La (0.500, 0.500, 0.000)

***

No. 2
Sc2AgIr | meta-GGA SCAN | single point on PBEsol structure

Computed properties:
- Calculated formation energy: -0.56 eV/atom
- Magnetic moment: 0.000 μB/atom
- Calculated density: 9.3 g cm⁻³
- Energy above the most stable polymorph in this dataset: 1.051 eV/f.u.

Cell lengths 3.975, 3.975, 5.219 Å; angles 112.38, 112.38, 90.00 degrees
Fractional positions:
Ir (0.250, 0.750, 0.500)
Sc (0.000, 0.000, 0.000)
Sc (0.750, 0.250, 0.500)
Ag (0.500, 0.500, 0.000)

***

No. 3
Cr3GeN | meta-GGA SCAN | single point on PBEsol structure

Computed properties:
- Uncorrected formation energy: -0.2245 eV/atom
- Magnetic moment: 0.000 μB/atom
- Calculated density: 7.5 g cm⁻³
- Energy above the most stable polymorph in this dataset: 0.698 eV/f.u.

Cell lengths 3.774, 3.774, 3.774 Å; angles 90.00, 90.00, 90.00 degrees
Fractional positions:
Cr (0.000, 0.000, 0.500)
Cr (0.000, 0.500, 0.000)
Cr (0.500, 0.000, 0.000)
Ge (0.500, 0.500, 0.500)
N (0.000, 0.000, 0.000)

***

No. 4
Li2CuPt | meta-GGA SCAN | single point on PBEsol structure

Computed properties:
- Calculated formation energy: -0.36 eV/atom
- Magnetic moment: 0.000 μB/atom
- Calculated density: 9.2 g cm⁻³
- Energy above the most stable polymorph in this dataset: 0.254 eV/f.u.

Cell lengths 2.906, 4.115, 4.836 Å; angles 115.18, 107.49, 90.00 degrees
Fractional positions:
Cu (0.257, 0.757, 0.514)
Li (0.745, 0.245, 0.490)
Li (0.998, 0.998, 0.996)
Pt (0.500, 0.500, 0.000)

***

No. 5
AlCoAu2 | meta-GGA SCAN | single point on PBEsol structure

Computed properties:
- Calculated formation energy: -0.26 eV/atom
- Magnetic moment: 0.429 μB/atom
- Calculated density: 13.8 g cm⁻³

Cell lengths 3.829, 3.932, 4.707 Å; angles 114.69, 114.00, 90.00 degrees
Each line ends with the local moment (μB).
Fractional positions:
Au (0.997, 0.997, 0.995)  0.01
Au (0.751, 0.251, 0.502)  0.01
Al (0.247, 0.747, 0.494)  -0.01
Co (0.505, 0.505, 0.010)  1.74

***

No. 6
CaZn | meta-GGA SCAN | single point on PBEsol structure

Computed properties:
- Calculated formation energy: -0.21 eV/atom
- Magnetic moment: 0.000 μB/atom
- Calculated density: 3.7 g cm⁻³

Cell lengths 3.549, 5.117, 6.009 Å; angles 114.25, 107.17, 90.00 degrees
Fractional positions:
Ca (0.400, 0.153, 0.799)
Ca (0.600, 0.847, 0.201)
Zn (0.162, 0.407, 0.325)
Zn (0.838, 0.593, 0.675)

***

No. 7
SrTa2Hg2 | meta-GGA SCAN | single point on PBEsol structure

Computed properties:
- Calculated formation energy: 0.59 eV/atom
- Magnetic moment: 0.000 μB/atom
- Calculated density: 11.5 g cm⁻³

Cell lengths 4.695, 4.695, 6.504 Å; angles 111.15, 111.15, 90.00 degrees
Fractional positions:
Hg (0.250, 0.750, 0.500)
Hg (0.750, 0.250, 0.500)
Sr (0.000, 0.000, 0.000)
Ta (0.388, 0.388, 0.775)
Ta (0.612, 0.612, 0.225)

***

No. 8
KAgCl2 | meta-GGA SCAN | single point on PBEsol structure

Computed properties:
- Uncorrected formation energy: -1.3347 eV/atom
- Magnetic moment: 0.000 μB/atom
- Calculated density: 3.6 g cm⁻³

Cell lengths 3.855, 3.855, 7.313 Å; angles 74.75, 105.28, 90.00 degrees
Fractional positions:
K (0.563, 0.313, 0.125)
Ag (0.812, 0.562, 0.625)
Cl (0.935, 0.940, 0.870)
Cl (0.190, 0.686, 0.380)